The following is a DFT calculation (GGA-PBE) of a relaxed ZrNiSn3 crystal.

Output
Calculated formation energy = 4.59 eV/f.u.
E = -21.7 eV for the cell shown
N(E_F) = 9.38 states/eV per cell

Cell: 5.521 5.521 5.521 Å, 90.00 90.00 90.00°
Element x y z (fractional)
Sn: 0.500 0.000 0.000
Sn: 0.000 0.000 0.500
Sn: 0.000 0.500 0.000
Ni: 0.500 0.500 0.500
Zr: 0.000 0.000 0.000



The following is a DFT calculation (GGA-PBE) of a relaxed LiYOs2 crystal.

Output
Calculated formation energy = 1.58 eV/f.u.
E = -29.3 eV for the cell shown
N(E_F) = 5.24 states/eV per cell

Cell: 3.330 3.330 6.111 Å, 90.00 90.00 90.00°
Element x y z (fractional)
Os: 0.000 0.000 0.554
Li: 0.500 0.500 0.750
Os: 0.000 0.000 0.946
Y: 0.500 0.500 0.250



The following is a DFT calculation (GGA-PBE) of a relaxed HoTiBeN3 crystal.

Output
E = -99.2 eV for the cell shown
N(E_F) = 0.16 states/eV per cell

Cell: 3.076 6.491 6.668 Å, 104.17 90.00 90.00°
Element x y z (fractional)
Be: 0.250 0.091 0.597
Ho: 0.250 0.194 0.227
Ti: 0.750 0.336 0.843
N: 0.250 0.818 0.481
N: 0.750 0.441 0.161
Ti: 0.250 0.664 0.157
N: 0.750 0.878 0.142
N: 0.250 0.122 0.858
N: 0.250 0.559 0.839
Be: 0.750 0.909 0.403
N: 0.750 0.182 0.519
Ho: 0.750 0.806 0.773



The following is a DFT calculation (GGA-PBE) of a relaxed YHoTh2 crystal.

Output
Calculated formation energy = 0.13 eV/f.u.
E = -51.5 eV for the cell shown
N(E_F) = 14.16 states/eV per cell

Cell: 5.050 5.058 11.263 Å, 90.00 116.59 90.00°
Element x y z (fractional)
Th: 0.877 0.250 0.877
Y: 0.371 0.250 0.371
Ho: 0.129 0.250 0.629
Th: 0.623 0.250 0.123
Y: 0.629 0.750 0.629
Ho: 0.871 0.750 0.371
Th: 0.123 0.750 0.123
Th: 0.377 0.750 0.877



The following is a DFT calculation (GGA-PBE) of a relaxed Ac4GaTeS2 crystal.

Output
E = -42.6 eV for the cell shown
N(E_F) = 3.61 states/eV per cell

Cell: 4.425 7.788 7.986 Å, 71.14 90.00 90.00°
Element x y z (fractional)
Ac: 0.500 0.763 0.253
S: 0.500 0.000 0.500
Ac: 0.500 0.237 0.747
Ga: 0.000 0.500 0.500
Ac: 0.000 0.231 0.271
Te: 0.500 0.500 0.000
S: 0.000 0.000 0.000
Ac: 0.000 0.769 0.729



The following is a DFT calculation (GGA-PBE) of a relaxed SrMgGa4 crystal.

Output
Calculated formation energy = -1.99 eV/f.u.
E = -69.5 eV for the cell shown
N(E_F) = 4.71 states/eV per cell

Cell: 4.143 8.308 15.941 Å, 90.00 90.00 90.00°
Element x y z (fractional)
Ga: 0.500 0.867 0.032
Ga: 0.500 0.633 0.532
Ga: 0.500 0.616 0.950
Ga: 0.500 0.884 0.450
Ga: 0.500 0.982 0.304
Ga: 0.500 0.289 0.314
Ga: 0.500 0.367 0.468
Mg: 0.000 0.871 0.584
Ga: 0.500 0.116 0.550
Ga: 0.500 0.711 0.686
Ga: 0.500 0.018 0.696
Mg: 0.000 0.129 0.416
Mg: 0.000 0.629 0.084
Mg: 0.000 0.371 0.916
Ga: 0.500 0.384 0.050
Ga: 0.500 0.133 0.968
Ga: 0.500 0.211 0.814
Ga: 0.500 0.482 0.196
Sr: 0.000 0.129 0.149
Ga: 0.500 0.789 0.186
Sr: 0.000 0.371 0.649
Sr: 0.000 0.871 0.851
Ga: 0.500 0.518 0.804
Sr: 0.000 0.629 0.351



The following is a DFT calculation (GGA-PBE) of a relaxed Tb8Y3Th4 crystal.

Output
Calculated formation energy = 6.40 eV/f.u.
E = -79.7 eV for the cell shown
N(E_F) = 29.01 states/eV per cell

Cell: 6.749 9.275 9.275 Å, 88.14 111.12 111.12°
Element x y z (fractional)
Tb: 0.000 0.644 0.356
Th: 0.000 0.000 0.500
Th: 0.500 0.000 0.000
Y: 0.500 0.500 0.000
Tb: 0.489 0.742 0.742
Y: 0.500 0.500 0.500
Th: 0.000 0.000 0.000
Th: 0.000 0.500 0.000
Tb: 0.500 0.746 0.254
Tb: 0.511 0.258 0.258
Tb: 0.000 0.356 0.644
Y: 0.500 0.000 0.500
Tb: 0.005 0.737 0.737
Tb: 0.995 0.263 0.263
Tb: 0.500 0.254 0.746



The following is a DFT calculation (GGA-PBE) of a relaxed AlIrCl3 crystal.

Output
E = -16.1 eV for the cell shown
N(E_F) = 6.85 states/eV per cell

Cell: 4.739 4.739 4.739 Å, 90.00 90.00 90.00°
Element x y z (fractional)
Cl: 0.000 0.500 0.000
Cl: 0.500 0.000 0.000
Cl: 0.000 0.000 0.500
Ir: 0.500 0.500 0.500
Al: 0.000 0.000 0.000



The following is a DFT calculation (GGA-PBE) of a relaxed Tb5Dy3Ho2 crystal.

Output
Calculated formation energy = 2.35 eV/f.u.
E = -87.5 eV for the cell shown
N(E_F) = 31.71 states/eV per cell

Cell: 6.681 11.539 11.539 Å, 50.04 73.17 73.17°
Element x y z (fractional)
Dy: 0.250 0.000 0.000
Ho: 0.444 0.805 0.306
Tb: 0.209 0.464 0.117
Tb: 0.291 0.883 0.536
Ho: 0.056 0.694 0.195
Dy: 0.374 0.445 0.807
Dy: 0.750 0.000 0.000
Dy: 0.874 0.807 0.445
Tb: 0.419 0.831 0.831
Tb: 0.750 0.500 0.500
Tb: 0.791 0.536 0.883
Tb: 0.081 0.169 0.169
Dy: 0.126 0.193 0.555
Tb: 0.581 0.169 0.169
Dy: 0.626 0.555 0.193
Tb: 0.709 0.117 0.464
Ho: 0.556 0.195 0.694
Tb: 0.919 0.831 0.831
Tb: 0.250 0.500 0.500
Ho: 0.944 0.306 0.805



The following is a DFT calculation (GGA-PBE) of a relaxed Rb2Be2H7 crystal.

Output
E = -32.8 eV for the cell shown
N(E_F) = 2.11 states/eV per cell

Cell: 4.905 5.563 5.563 Å, 92.68 94.80 94.80°
Element x y z (fractional)
H: 0.568 0.863 0.593
H: 0.568 0.593 0.863
H: 0.142 0.772 0.772
H: 0.858 0.228 0.228
H: 0.432 0.137 0.407
Be: 0.569 0.192 0.192
Rb: 0.000 0.260 0.740
Rb: 0.000 0.740 0.260
Be: 0.431 0.808 0.808
H: 0.500 0.000 0.000
H: 0.432 0.407 0.137



The following is a DFT calculation (GGA-PBE) of a relaxed Ta2AsPt crystal.

Output
Calculated formation energy = -0.40 eV/f.u.
E = -34.8 eV for the cell shown
N(E_F) = 2.36 states/eV per cell

Cell: 9.435 9.435 9.435 Å, 18.05 18.05 18.05°
Element x y z (fractional)
Ta: 0.003 0.003 0.003
Pt: 0.747 0.747 0.747
Ta: 0.247 0.247 0.247
As: 0.502 0.502 0.502



The following is a DFT calculation (GGA-PBE) of a relaxed Pm3Nd2Au2 crystal.

Output
Calculated formation energy = -3.24 eV/f.u.
E = -33.6 eV for the cell shown
N(E_F) = 7.23 states/eV per cell

Cell: 3.869 6.747 9.400 Å, 114.59 90.00 106.66°
Element x y z (fractional)
Pm: 0.386 0.773 0.554
Pm: 0.500 0.000 0.000
Nd: 0.154 0.307 0.814
Au: 0.833 0.667 0.770
Nd: 0.846 0.693 0.186
Pm: 0.614 0.227 0.446
Au: 0.167 0.333 0.230